The following is a DFT calculation (PBE) of an optimized crystal structure of Ti5Co2.

The structure in extended XYZ format:
```
14
Lattice="6.782 -2.840 0.000 6.782 2.840 0.000 -0.260 0.000 5.565" Properties=species:S:1:pos:R:3 pbc="T T T"
Ti 6.586 2.719 4.174
Ti 2.999 0.285 1.475
Ti 2.868 -0.285 4.257
Ti 5.544 0.750 0.136
Ti 7.889 0.750 2.647
Ti 5.414 -0.750 2.918
Ti 7.759 -0.750 5.429
Ti 10.434 0.285 1.308
Ti 10.304 -0.285 4.090
Ti 6.716 -2.719 1.391
Co 5.109 1.508 2.649
Co 8.324 1.508 0.133
Co 4.979 -1.508 5.432
Co 8.194 -1.508 2.915
```

Computed properties:
The formation enthalpy at 0 K is -191 meV per atom. As for the space group: C2/c. For the raw total energy, the calculation gives -110.0 eV per cell. For the total magnetization, the calculation gives 0.00 μB per formula unit.

The following is a DFT calculation (PBE) of an optimized crystal structure of Ti3Co2.

The structure in extended XYZ format:
```
15
Lattice="3.757 2.169 4.402 -3.757 2.169 4.402 0.000 -4.338 4.402" Properties=species:S:1:pos:R:3 pbc="T T T"
Ti 0.000 0.000 0.000
Ti -0.815 -1.532 5.384
Ti 0.000 0.000 2.862
Ti -1.734 -0.060 7.822
Ti -0.919 1.472 5.384
Ti 0.919 -1.472 7.822
Ti 1.734 0.060 5.384
Ti 0.000 0.000 10.344
Ti 0.815 1.532 7.822
Co -2.956 0.145 5.669
Co -1.604 -2.488 7.537
Co 1.352 -2.633 5.669
Co -1.352 2.633 7.537
Co 1.604 2.488 5.669
Co 2.956 -0.145 7.537
```

Computed properties:
The formation enthalpy at 0 K is -250 meV per atom. As for the space group: R-3. For the raw total energy, the calculation gives -117.4 eV per cell. For the total magnetization, the calculation gives 0.00 μB per formula unit.

The following is a DFT calculation (PBE) of an optimized crystal structure of Ti3Co2.

The structure in extended XYZ format:
```
10
Lattice="2.980 0.000 0.000 0.000 2.980 0.000 0.000 0.000 15.673" Properties=species:S:1:pos:R:3 pbc="T T T"
Ti 0.000 0.000 0.000
Ti 0.000 0.000 2.990
Ti 0.000 0.000 5.950
Ti 0.000 0.000 9.723
Ti 0.000 0.000 12.684
Ti 1.490 1.490 7.837
Co 1.490 1.490 1.504
Co 1.490 1.490 4.430
Co 1.490 1.490 11.243
Co 1.490 1.490 14.169
```

Computed properties:
The formation enthalpy at 0 K is -311 meV per atom. As for the space group: P4/mmm. For the raw total energy, the calculation gives -78.9 eV per cell. For the total magnetization, the calculation gives 0.97 μB per formula unit.